Computed, not measured: a relaxed NaTlCd2 crystal at the GGA-PBE level of DFT. Values from VASP.

The structure in Quantum ESPRESSO input format:
```
&SYSTEM
  ibrav = 0, nat = 4, ntyp = 3
/
ATOMIC_SPECIES
Na 22.99 Na.upf
Tl 204.38 Tl.upf
Cd 112.41 Cd.upf
ATOMIC_POSITIONS crystal
Na 0.000 0.000 0.000
Tl 0.000 0.000 0.500
Cd 0.500 0.500 0.249
Cd 0.500 0.500 0.751
CELL_PARAMETERS angstrom
4.013 0.000 0.000
0.000 4.013 0.000
0.000 0.000 6.520
```

Results
The calculation puts the excess energy over the best structure of this formula in the dataset at 24.1 meV per atom. Its space group is P4/mmm (123). Its density of states at the Fermi level is 2.01 states/eV/f.u. As for the size of the total moment: 0.0 μB per cell.